1.
# KCrFeO4, optimized geometry, DFT PBE with a Hubbard U
# final energy = -88.0 eV per cell
data_KCrFeO4
_chemical_formula_sum 'K2 Cr2 Fe2 O8'
_symmetry_space_group_name_H-M 'P 1 21/m 1'
_symmetry_Int_Tables_number 11
_cell_length_a 5.557
_cell_length_b 5.309
_cell_length_c 6.902
_cell_angle_alpha 90.00
_cell_angle_beta 101.89
_cell_angle_gamma 90.00
loop_
_symmetry_equiv_pos_as_xyz
'x,y,z'
'-x,-y,-z'
'-x,y+1/2,-z'
'x,-y+1/2,z'
loop_
_atom_site_label
_atom_site_fract_x
_atom_site_fract_y
_atom_site_fract_z
K1 0.151 0.250 0.098
Cr1 0.144 0.750 0.459
Fe1 0.400 0.250 0.656
O1 0.126 0.015 0.664
O2 0.268 0.750 0.214
O3 0.488 0.750 0.584

2.
# K2CrFeO4, optimized geometry, DFT PBE with a Hubbard U
# final energy = -369.9 eV per cell
data_K2CrFeO4
_chemical_formula_sum 'K16 Cr8 Fe8 O32'
_symmetry_space_group_name_H-M 'F d d d'
_symmetry_Int_Tables_number 70
_cell_length_a 5.285
_cell_length_b 11.954
_cell_length_c 19.276
_cell_angle_alpha 90.00
_cell_angle_beta 90.00
_cell_angle_gamma 90.00
loop_
_symmetry_equiv_pos_as_xyz
'x,y,z'
'-x,-y,-z'
'-x+1/4,-y+1/4,z'
'x+1/4,y+1/4,-z'
'x,-y+1/4,-z+1/4'
'-x,y+1/4,z+1/4'
'-x+1/4,y,-z+1/4'
'x+1/4,-y,z+1/4'
'x,y+1/2,z+1/2'
'-x,-y+1/2,-z+1/2'
'-x+1/4,-y+3/4,z+1/2'
'x+1/4,y+3/4,-z+1/2'
'x,-y+3/4,-z+3/4'
'-x,y+3/4,z+3/4'
'-x+1/4,y+1/2,-z+3/4'
'x+1/4,-y+1/2,z+3/4'
'x+1/2,y,z+1/2'
'-x+1/2,-y,-z+1/2'
'-x+3/4,-y+1/4,z+1/2'
'x+3/4,y+1/4,-z+1/2'
'x+1/2,-y+1/4,-z+3/4'
'-x+1/2,y+1/4,z+3/4'
'-x+3/4,y,-z+3/4'
'x+3/4,-y,z+3/4'
'x+1/2,y+1/2,z'
'-x+1/2,-y+1/2,-z'
'-x+3/4,-y+3/4,z'
'x+3/4,y+3/4,-z'
'x+1/2,-y+3/4,-z+1/4'
'-x+1/2,y+3/4,z+1/4'
'-x+3/4,y+1/2,-z+1/4'
'x+3/4,-y+1/2,z+1/4'
loop_
_atom_site_label
_atom_site_fract_x
_atom_site_fract_y
_atom_site_fract_z
K1 0.125 0.125 0.302
Cr1 0.125 0.125 0.125
Fe1 0.125 0.125 0.625
O1 0.092 0.289 0.424